HfTlI2N | PBE | relaxed

Cell and atoms, written as CIF:
```
data_HfTlI2N
_space_group_name_H-M_alt 'P 1'
_space_group_IT_number 1
_cell_length_a 6.180
_cell_length_b 6.180
_cell_length_c 3.878
_cell_angle_alpha 90.00
_cell_angle_beta 90.00
_cell_angle_gamma 90.00
loop_
_space_group_symop_operation_xyz
'x,y,z'
loop_
_atom_site_label
_atom_site_type_symbol
_atom_site_fract_x
_atom_site_fract_y
_atom_site_fract_z
Hf1 Hf 0.000 0.000 0.000
Tl1 Tl 0.500 0.500 0.500
I1 I 0.000 0.500 0.500
I2 I 0.500 0.000 0.500
N1 N 0.500 0.500 0.000
```

Computed properties:
Polymorph energy (0 for the lowest one), meV/atom: 1669
V, A^3/atom: 29.621
Density of states at the Fermi level, states/eV per cell: 4.83


MoSe2 | PBE | relaxed

Cell and atoms, written as CIF:
```
data_MoSe2
_space_group_name_H-M_alt 'P 1'
_space_group_IT_number 1
_cell_length_a 4.619
_cell_length_b 4.619
_cell_length_c 2.948
_cell_angle_alpha 90.00
_cell_angle_beta 90.00
_cell_angle_gamma 120.00
loop_
_space_group_symop_operation_xyz
'x,y,z'
loop_
_atom_site_label
_atom_site_type_symbol
_atom_site_fract_x
_atom_site_fract_y
_atom_site_fract_z
Mo1 Mo 0.000 0.000 0.000
Se1 Se 0.333 0.667 0.500
Se2 Se 0.667 0.333 0.500
```

Computed properties:
V, A^3/atom: 18.159
VASP energy, eV for the cell shown: -15.116
Density of states at the Fermi level, states/eV per cell: 3.15